No. 1
# KCrOs2 | the Alexandria database | SCAN | single point on PBEsol structure
data_KCrOs2
_chemical_formula_sum 'K1 Cr1 Os2'
_cell_length_a 2.707
_cell_length_b 2.707
_cell_length_c 9.026
_cell_angle_alpha 90.00
_cell_angle_beta 90.00
_cell_angle_gamma 90.00
_symmetry_space_group_name_H-M 'P 1'
_symmetry_Int_Tables_number 1
loop_
_symmetry_equiv_pos_as_xyz
'x,y,z'
loop_
_atom_site_label
_atom_site_fract_x
_atom_site_fract_y
_atom_site_fract_z
_atom_site_occupancy
K1 0.000 0.000 0.000 1
Cr1 0.000 0.000 0.500 1
Os1 0.500 0.500 0.315 1
Os2 0.500 0.500 0.685 1
# - Energy of formation from the pure elements: 773 meV per atom
# - Total moment: 0.000 μB/atom
# - SG: P4/mmm, No. 123



No. 2
# LaOsN2 | the Alexandria database | SCAN | single point on PBEsol structure
data_LaOsN2
_chemical_formula_sum 'La1 Os1 N2'
_cell_length_a 6.163
_cell_length_b 6.163
_cell_length_c 6.163
_cell_angle_alpha 32.28
_cell_angle_beta 32.28
_cell_angle_gamma 32.28
_symmetry_space_group_name_H-M 'P 1'
_symmetry_Int_Tables_number 1
loop_
_symmetry_equiv_pos_as_xyz
'x,y,z'
loop_
_atom_site_label
_atom_site_fract_x
_atom_site_fract_y
_atom_site_fract_z
_atom_site_occupancy
La1 0.000 0.000 0.000 1
Os1 0.500 0.500 0.500 1
N1 0.131 0.131 0.131 1
N2 0.869 0.869 0.869 1
# - Total moment: 0.000 μB/atom
# - Uncorrected formation energy: 0.2753 eV/atom
# - SG: R-3m, No. 166



No. 3
# BRhN2F | the Alexandria database | SCAN | single point on PBEsol structure
data_BRhN2F
_chemical_formula_sum 'B1 Rh1 N2 F1'
_cell_length_a 3.555
_cell_length_b 3.555
_cell_length_c 3.062
_cell_angle_alpha 90.00
_cell_angle_beta 90.00
_cell_angle_gamma 90.00
_symmetry_space_group_name_H-M 'P 1'
_symmetry_Int_Tables_number 1
loop_
_symmetry_equiv_pos_as_xyz
'x,y,z'
loop_
_atom_site_label
_atom_site_fract_x
_atom_site_fract_y
_atom_site_fract_z
_atom_site_occupancy
B1 0.000 0.000 0.000 1
Rh1 0.500 0.500 0.500 1
N1 0.000 0.500 0.000 1
N2 0.500 0.000 0.000 1
F1 0.000 0.000 0.500 1
# - Total moment: 0.000 μB/atom
# - Uncorrected formation energy: 0.6395 eV/atom
# - SG: P4/mmm, No. 123